[1]
CuAs2C | the Alexandria database | PBEsol | optimized geometry; symmetry = I-42d; total magnetic moment = 0.0 Bohr magnetons per cell; formation enthalpy at 0 K = 0.55 eV per atom; crystal system = tetragonal
1.0
-2.5715 2.5715 4.6929
2.5715 -2.5715 4.6929
2.5715 2.5715 -4.6929
Cu As C
2 4 2
Direct
0.0000 0.0000 0.0000
0.7500 0.2500 0.5000
0.1713 0.1250 0.5463
0.3750 0.8287 0.9537
0.5787 0.6250 0.4537
0.8750 0.4213 0.0463
0.2500 0.7500 0.5000
0.5000 0.5000 0.0000

[2]
CeNi3 | the Alexandria database | PBEsol | optimized geometry; symmetry = P6_3/mmc; total magnetic moment = 0.0 Bohr magnetons per cell; formation enthalpy at 0 K = -0.30 eV per atom; crystal system = hexagonal
1.0
5.3007 0.0000 0.0000
-2.6504 4.5905 0.0000
0.0000 0.0000 4.5399
Ce Ni
2 6
Direct
0.3333 0.6667 0.2500
0.6667 0.3333 0.7500
0.1550 0.3100 0.7500
0.1550 0.8450 0.7500
0.3100 0.1550 0.2500
0.6900 0.8450 0.7500
0.8450 0.1550 0.2500
0.8450 0.6900 0.2500

[3]
MgAg3 | the Alexandria database | PBEsol | optimized geometry; symmetry = C2; total magnetic moment = 0.0 Bohr magnetons per cell; formation enthalpy at 0 K = -0.12 eV per atom; crystal system = monoclinic
1.0
4.8917 -2.4202 0.0000
4.8917 2.4202 0.0000
-0.9263 0.0000 2.8846
Mg Ag
1 3
Direct
0.0000 0.0000 0.0000
0.1153 0.3864 0.7508
0.5045 0.4955 0.5000
0.6136 0.8847 0.2492

[4]
CoPt2Pb | the Alexandria database | PBEsol | optimized geometry; symmetry = I-4m2; total magnetic moment = 1.5 Bohr magnetons per cell; formation enthalpy at 0 K = 0.18 eV per atom; crystal system = tetragonal
1.0
-2.0303 2.0303 3.8205
2.0303 -2.0303 3.8205
2.0303 2.0303 -3.8205
Co Pt Pb
1 2 1
Direct
0.0000 0.0000 0.0000
0.2500 0.7500 0.5000
0.5000 0.5000 0.0000
0.7500 0.2500 0.5000

[5]
ScMnBi2Se | the Alexandria database | PBEsol | optimized geometry; energy relative to the elements, uncorrected = 0.4191 eV per atom; symmetry = P4/mmm; total magnetic moment = 4.7 Bohr magnetons per cell; crystal system = tetragonal
1.0
5.5596 0.0000 0.0000
0.0000 5.5596 0.0000
0.0000 0.0000 4.9266
Sc Mn Bi Se
1 1 2 1
Direct
0.0000 0.0000 0.0000
0.5000 0.5000 0.5000
0.0000 0.5000 0.0000
0.5000 0.0000 0.0000
0.0000 0.0000 0.5000

[6]
TaZn2 | the Alexandria database | PBEsol | optimized geometry; symmetry = Immm; total magnetic moment = 0.0 Bohr magnetons per cell; formation enthalpy at 0 K = 0.49 eV per atom; crystal system = orthorhombic
1.0
-1.3576 2.4673 3.6390
1.3576 -2.4673 3.6390
1.3576 2.4673 -3.6390
Ta Zn
1 2
Direct
0.0000 0.0000 0.0000
0.3286 0.8286 0.5000
0.6714 0.1714 0.5000

[7]
Li2ZrCl2 | the Alexandria database | PBEsol | optimized geometry; energy relative to the elements, uncorrected = -0.3878 eV per atom; symmetry = P4/mbm; total magnetic moment = 5.9 Bohr magnetons per cell; crystal system = tetragonal
1.0
7.6979 0.0000 0.0000
0.0000 7.6979 0.0000
0.0000 0.0000 3.1418
Li Zr Cl
4 2 4
Direct
0.1265 0.3735 0.0000
0.3735 0.8735 0.0000
0.6265 0.1265 0.0000
0.8735 0.6265 0.0000
0.0000 0.0000 0.0000
0.5000 0.5000 0.0000
0.1552 0.6552 0.5000
0.3448 0.1552 0.5000
0.6552 0.8448 0.5000
0.8448 0.3448 0.5000

[8]
Cs2MnH12S2O14 | the Alexandria database | PBEsol | optimized geometry; symmetry = P2_1/c; total magnetic moment = 10.0 Bohr magnetons per cell; crystal system = monoclinic
1.0
6.3449 0.0000 0.0000
0.0000 12.8037 0.0000
-2.6184 0.0000 8.8945
Cs Mn H S O
4 2 24 4 28
Direct
0.1498 0.1455 0.3653
0.1498 0.3545 0.8653
0.8502 0.6455 0.1347
0.8502 0.8545 0.6347
0.5000 0.0000 0.0000
0.5000 0.5000 0.5000
0.1579 0.5668 0.6036
0.1579 0.9332 0.1036
0.1744 0.1012 0.7820
0.1744 0.3988 0.2820
0.1829 0.6460 0.4782
0.1829 0.8540 0.9782
0.4119 0.1320 0.7563
0.4119 0.3680 0.2563
0.4151 0.6003 0.2138
0.4151 0.8997 0.7138
0.4738 0.6892 0.3409
0.4738 0.8108 0.8409
0.5262 0.1892 0.1591
0.5262 0.3108 0.6591
0.5849 0.1003 0.2862
0.5849 0.3997 0.7862
0.5881 0.6320 0.7437
0.5881 0.8680 0.2437
0.8171 0.1460 0.0218
0.8171 0.3540 0.5218
0.8256 0.6012 0.7180
0.8256 0.8988 0.2180
0.8421 0.0668 0.8964
0.8421 0.4332 0.3964
0.2374 0.6440 0.8979
0.2374 0.8560 0.3979
0.7626 0.1440 0.6021
0.7626 0.3560 0.1021
0.0998 0.5816 0.7687
0.0998 0.9184 0.2687
0.1067 0.7352 0.9214
0.1067 0.7648 0.4214
0.2004 0.5705 0.5078
0.2004 0.9295 0.0078
0.2956 0.5764 0.0330
0.2956 0.9236 0.5330
0.3334 0.1156 0.8327
0.3334 0.3844 0.3327
0.4403 0.6810 0.8618
0.4403 0.8190 0.3618
0.5000 0.1141 0.1791
0.5000 0.3859 0.6791
0.5000 0.6141 0.3209
0.5000 0.8859 0.8209
0.5597 0.1810 0.6382
0.5597 0.3190 0.1382
0.6666 0.6156 0.6673
0.6666 0.8844 0.1673
0.7044 0.0764 0.4670
0.7044 0.4236 0.9670
0.7996 0.0705 0.9922
0.7996 0.4295 0.4922
0.8933 0.2352 0.5786
0.8933 0.2648 0.0786
0.9002 0.0816 0.7313
0.9002 0.4184 0.2313

[9]
TcPW2Au | the Alexandria database | PBEsol | optimized geometry; symmetry = P4/mmm; total magnetic moment = 1.2 Bohr magnetons per cell; formation enthalpy at 0 K = 2.86 eV per atom; crystal system = tetragonal
1.0
4.7698 0.0000 0.0000
0.0000 4.7698 0.0000
0.0000 0.0000 4.8086
Tc P W Au
1 1 2 1
Direct
0.0000 0.0000 0.0000
0.5000 0.5000 0.0000
0.0000 0.5000 0.5000
0.5000 0.0000 0.5000
0.0000 0.0000 0.5000

[10]
SrAgCl2 | the Alexandria database | PBEsol | optimized geometry; energy relative to the elements, uncorrected = -1.2153 eV per atom; symmetry = P2/m; total magnetic moment = 0.0 Bohr magnetons per cell; crystal system = monoclinic
1.0
3.8818 0.0000 0.0000
0.0000 4.7322 0.0000
-0.0180 0.0000 4.7371
Sr Ag Cl
1 1 2
Direct
0.0000 0.0000 0.0000
0.0000 0.5000 0.5000
0.5000 0.0000 0.5000
0.5000 0.5000 0.0000

[11]
CoGeSbTe2 | the Alexandria database | PBEsol | optimized geometry; energy relative to the elements, uncorrected = 1.1805 eV per atom; symmetry = P4/mmm; total magnetic moment = 2.2 Bohr magnetons per cell; crystal system = tetragonal
1.0
5.2825 0.0000 0.0000
0.0000 5.2825 0.0000
0.0000 0.0000 5.1575
Co Ge Sb Te
1 1 1 2
Direct
0.0000 0.0000 0.0000
0.5000 0.5000 0.5000
0.5000 0.5000 0.0000
0.0000 0.5000 0.5000
0.5000 0.0000 0.5000

[12]
Ca2TeSe | the Alexandria database | PBEsol | optimized geometry; energy relative to the elements, uncorrected = -1.8323 eV per atom; symmetry = R-3m; total magnetic moment = 0.0 Bohr magnetons per cell; crystal system = trigonal
1.0
2.1481 1.2402 7.0499
-2.1481 1.2402 7.0499
0.0000 -2.4804 7.0499
Ca Te Se
2 1 1
Direct
0.2444 0.2444 0.2444
0.7556 0.7556 0.7556
0.0000 0.0000 0.0000
0.5000 0.5000 0.5000

[13]
NaGa11O18 | the Alexandria database | PBEsol | optimized geometry; energy relative to the elements, uncorrected = -1.7607 eV per atom; symmetry = P2_1/m; total magnetic moment = 4.4 Bohr magnetons per cell; crystal system = monoclinic
1.0
8.5983 0.0000 0.0000
0.0000 8.9784 0.0000
-4.0764 0.0000 8.4800
Na Ga O
2 22 36
Direct
0.0241 0.2500 0.0618
0.9759 0.7500 0.9382
0.0045 0.7500 0.3628
0.0136 0.0852 0.3596
0.0136 0.4148 0.3596
0.2896 0.5781 0.2570
0.2896 0.9219 0.2570
0.3214 0.0760 0.9489
0.3214 0.4240 0.9489
0.3324 0.7500 0.9544
0.3511 0.2500 0.4605
0.3690 0.5760 0.6506
0.3690 0.9240 0.6506
0.6310 0.0760 0.3494
0.6310 0.4240 0.3494
0.6489 0.7500 0.5395
0.6676 0.2500 0.0456
0.6786 0.5760 0.0511
0.6786 0.9240 0.0511
0.7104 0.0781 0.7430
0.7104 0.4219 0.7430
0.9864 0.5852 0.6404
0.9864 0.9148 0.6404
0.9955 0.2500 0.6372
0.1052 0.0826 0.7663
0.1052 0.4174 0.7663
0.1138 0.7500 0.7733
0.1350 0.5845 0.5212
0.1350 0.9155 0.5212
0.1392 0.2500 0.5096
0.1840 0.7500 0.2802
0.2080 0.0944 0.3044
0.2080 0.4056 0.3044
0.2566 0.5851 0.0494
0.2566 0.9149 0.0494
0.2750 0.2500 0.0432
0.4203 0.5788 0.8647
0.4203 0.9212 0.8647
0.4225 0.2500 0.8871
0.4671 0.7500 0.6158
0.4728 0.0915 0.6175
0.4728 0.4085 0.6175
0.5272 0.5915 0.3825
0.5272 0.9085 0.3825
0.5329 0.2500 0.3842
0.5775 0.7500 0.1129
0.5797 0.0788 0.1353
0.5797 0.4212 0.1353
0.7250 0.7500 0.9568
0.7434 0.0851 0.9506
0.7434 0.4149 0.9506
0.7920 0.5944 0.6956
0.7920 0.9056 0.6956
0.8160 0.2500 0.7198
0.8608 0.7500 0.4904
0.8650 0.0845 0.4788
0.8650 0.4155 0.4788
0.8862 0.2500 0.2267
0.8948 0.5826 0.2337
0.8948 0.9174 0.2337

[14]
ZnCu2OsN | the Alexandria database | PBEsol | optimized geometry; energy relative to the elements, uncorrected = 2.3914 eV per atom; symmetry = P4/mmm; total magnetic moment = 2.2 Bohr magnetons per cell; crystal system = tetragonal
1.0
4.1906 0.0000 0.0000
0.0000 4.1906 0.0000
0.0000 0.0000 4.5958
Zn Cu Os N
1 2 1 1
Direct
0.0000 0.0000 0.0000
0.0000 0.5000 0.0000
0.5000 0.0000 0.0000
0.0000 0.0000 0.5000
0.5000 0.5000 0.5000

[15]
Fe3OF5 | the Alexandria database | PBEsol | optimized geometry; energy relative to the elements, uncorrected = -1.6448 eV per atom; symmetry = C2/m; total magnetic moment = 16.9 Bohr magnetons per cell; crystal system = monoclinic
1.0
4.3955 -3.4379 0.0000
4.3955 3.4379 0.0000
-2.8986 0.0000 6.4683
Fe O F
6 2 10
Direct
0.0000 0.0000 0.0000
0.0000 0.0000 0.5000
0.3492 0.3492 0.3485
0.3593 0.3593 0.8658
0.6407 0.6407 0.1342
0.6508 0.6508 0.6515
0.4337 0.4337 0.1526
0.5663 0.5663 0.8474
0.0337 0.6539 0.8344
0.1024 0.1024 0.8058
0.2322 0.2322 0.5449
0.2719 0.7281 0.5000
0.3461 0.9663 0.1656
0.6539 0.0337 0.8344
0.7281 0.2719 0.5000
0.7678 0.7678 0.4551
0.8976 0.8976 0.1942
0.9663 0.3461 0.1656

[16]
Cu2SnHgO | the Alexandria database | PBEsol | optimized geometry; energy relative to the elements, uncorrected = 0.0433 eV per atom; symmetry = P4/mmm; total magnetic moment = 0.0 Bohr magnetons per cell; crystal system = tetragonal
1.0
3.9186 0.0000 0.0000
0.0000 3.9186 0.0000
0.0000 0.0000 5.4978
Cu Sn Hg O
2 1 1 1
Direct
0.0000 0.5000 0.0000
0.5000 0.0000 0.0000
0.0000 0.0000 0.5000
0.5000 0.5000 0.5000
0.5000 0.5000 0.0000

[17]
SrTlCr | the Alexandria database | PBEsol | optimized geometry; symmetry = P-6m2; total magnetic moment = 4.1 Bohr magnetons per cell; formation enthalpy at 0 K = 0.33 eV per atom; crystal system = hexagonal
1.0
4.9630 0.0000 0.0000
-2.4815 4.2981 0.0000
0.0000 0.0000 3.8490
Sr Tl Cr
1 1 1
Direct
0.0000 0.0000 0.0000
0.3333 0.6667 0.5000
0.6667 0.3333 0.5000

[18]
CdAgAs | the Alexandria database | PBEsol | optimized geometry; symmetry = P1; total magnetic moment = 0.0 Bohr magnetons per cell; formation enthalpy at 0 K = 0.11 eV per atom; crystal system = triclinic
1.0
2.9878 0.0000 0.0000
0.0060 4.2194 0.0000
1.4820 1.9897 4.4692
Cd Ag As
1 1 1
Direct
0.0000 0.0000 0.0000
0.6637 0.6651 0.6721
0.3254 0.3287 0.3495

[19]
CrFe2Tc | the Alexandria database | PBEsol | optimized geometry; symmetry = Cmm2; total magnetic moment = 4.4 Bohr magnetons per cell; formation enthalpy at 0 K = 0.12 eV per atom; crystal system = orthorhombic
1.0
1.4673 -2.0275 0.0000
1.4673 2.0275 0.0000
0.0000 0.0000 7.9873
Cr Fe Tc
1 2 1
Direct
0.0000 0.0000 0.0000
0.0000 0.0000 0.5214
0.5000 0.5000 0.7623
0.5000 0.5000 0.2588

[20]
MoRuPt | the Alexandria database | PBEsol | optimized geometry; symmetry = P3m1; total magnetic moment = 0.0 Bohr magnetons per cell; formation enthalpy at 0 K = -0.06 eV per atom; crystal system = trigonal
1.0
2.7271 0.0000 0.0000
-1.3635 2.3617 0.0000
0.0000 0.0000 6.7437
Mo Ru Pt
1 1 1
Direct
0.0000 0.0000 0.0000
0.6667 0.3333 0.3130
0.3333 0.6667 0.6591

N(E_F) values (in states/eV per atom) by entry order: 0.341; 0.253; 0.298; 1.232; 0.942; 0.811; 0.552; 0.000; 1.172; 0.262; 1.299; 0.000; 0.427; 0.535; 0.550; 0.391; 1.025; 0.318; 0.995; 0.835.
Electronic total energy values (in eV/atom) by entry order: -5.500; -6.569; -3.036; -6.234; -5.338; -4.748; -3.796; -5.648; -6.859; -3.507; -3.677; -4.743; -6.182; -3.807; -6.287; -3.705; -4.571; -3.098; -9.735; -9.690.